1.
VASP calculation (GGA-PBE) on an optimized crystal structure of Y2FeSe.

Cell lengths 4.9446, 4.9446, 4.9446 Å; angles 60.00, 60.00, 60.00 degrees
Atoms (fractional coordinates):
Y: 0.0000 0.0000 0.0000
Y: 0.2500 0.2500 0.2500
Fe: 0.5000 0.5000 0.5000
Se: 0.7500 0.7500 0.7500

Results
E_form (uncorrected) = 0.15 eV per atom



2.
VASP calculation (GGA-PBE) on an optimized crystal structure of Y3FeSe.

Cell lengths 8.0153, 3.8509, 8.2653 Å; angles 90.00, 108.19, 90.00 degrees
Atoms (fractional coordinates):
Y: 0.0820 0.2500 0.2389
Y: 0.3112 0.2500 0.9349
Y: 0.3380 0.7500 0.5956
Y: 0.6620 0.2500 0.4044
Y: 0.6888 0.7500 0.0651
Y: 0.9180 0.7500 0.7611
Fe: 0.0477 0.2500 0.5510
Fe: 0.9523 0.7500 0.4490
Se: 0.3804 0.7500 0.2358
Se: 0.6196 0.2500 0.7642

Results
E_form (uncorrected) = -0.69 eV per atom
Energy above the most stable polymorph in this dataset = 0 meV/atom



3.
VASP calculation (GGA-PBE) on an optimized crystal structure of Y2FeSe.

Cell lengths 4.0583, 4.0583, 5.7462 Å; angles 90.00, 90.00, 90.00 degrees
Atoms (fractional coordinates):
Y: 0.0000 0.0000 0.0000
Y: 0.5000 0.5000 0.4973
Fe: 0.5000 0.5000 0.9990
Se: 0.0000 0.0000 0.5002

Results
E_form (uncorrected) = -0.56 eV per atom



4.
VASP calculation (GGA-PBE) on an optimized crystal structure of Y4FeSe.

Cell lengths 6.2227, 6.2227, 6.2227 Å; angles 60.00, 60.00, 60.00 degrees
Atoms (fractional coordinates):
Y: 0.1241 0.1241 0.1241
Y: 0.1241 0.1241 0.6277
Y: 0.1241 0.6277 0.1241
Y: 0.6277 0.1241 0.1241
Fe: 0.7500 0.7500 0.7500
Se: 0.5000 0.5000 0.5000

Results
E_form (uncorrected) = 0.60 eV per atom



5.
VASP calculation (GGA-PBE) on an optimized crystal structure of Y2FeSe.

Cell lengths 3.4819, 3.4819, 7.7216 Å; angles 90.00, 90.00, 90.09 degrees
Atoms (fractional coordinates):
Y: 0.0000 0.0000 0.0000
Y: 0.5000 0.5000 0.3876
Fe: 0.0000 0.0000 0.6138
Se: 0.5000 0.5000 0.7747

Results
E_form (uncorrected) = -0.30 eV per atom



6.
VASP calculation (GGA-PBE) on an optimized crystal structure of YFe4Se.

Cell lengths 5.0976, 5.0976, 5.0976 Å; angles 60.00, 60.00, 60.00 degrees
Atoms (fractional coordinates):
Y: 0.0000 0.0000 0.0000
Fe: 0.1177 0.6274 0.6274
Fe: 0.6274 0.1177 0.6274
Fe: 0.6274 0.6274 0.1177
Fe: 0.6274 0.6274 0.6274
Se: 0.2500 0.2500 0.2500

Results
E_form (uncorrected) = 0.06 eV per atom



7.
VASP calculation (GGA-PBE) on an optimized crystal structure of Y2FeSe.

Cell lengths 3.5371, 3.5297, 6.9165 Å; angles 90.00, 90.33, 90.00 degrees
Atoms (fractional coordinates):
Y: 0.0031 0.0000 0.2639
Y: 0.9969 0.0000 0.7361
Fe: 0.5000 0.5000 0.5000
Se: 0.5000 0.5000 0.0000

Results
E_form (uncorrected) = -0.65 eV per atom



8.
VASP calculation (GGA-PBE) on an optimized crystal structure of Y2FeSe.

Cell lengths 6.2520, 6.2520, 6.2520 Å; angles 109.23, 109.23, 109.95 degrees
Atoms (fractional coordinates):
Y: 0.0974 0.6250 0.9724
Y: 0.3750 0.3474 0.4724
Y: 0.6526 0.1250 0.0276
Y: 0.8750 0.9026 0.5276
Fe: 0.0000 0.0000 0.0000
Fe: 0.7500 0.2500 0.5000
Se: 0.2500 0.7500 0.5000
Se: 0.5000 0.5000 0.0000

Results
E_form (uncorrected) = -0.19 eV per atom



Total magnetic moment for every record listed, in sequence, given in μB per formula unit: 0.751; 0.000; 1.253; 2.629; 2.613; 10.049; 0.952; 0.000.